(1)
CoBiN2 | PBE-GGA | optimized geometry

a b c (Å): 6.6161 6.6161 6.6161
angles (deg): 27.19 27.19 27.19
Each line ends with the local moment (μB).
Fractional positions:
Co  0.5000  0.5000  0.5000  0.17
N  0.1229  0.1229  0.1229  0.04
N  0.8771  0.8771  0.8771  0.04
Bi  0.0000  0.0000  0.0000  0.00

Calculated values
space group	R-3m (166)
electronic total energy	-6.130	eV per atom


(2)
KIn4PdPt2 | PBE-GGA | optimized geometry

a b c (Å): 4.5746 4.5746 11.0770
angles (deg): 78.08 78.08 60.00
Fractional positions:
Pd  0.5000  0.5000  0.5000
K  0.0000  0.0000  0.0000
In  0.4087  0.4087  0.7740
Pt  0.7748  0.7748  0.6756
In  0.5913  0.5913  0.2260
Pt  0.2252  0.2252  0.3244
In  0.1348  0.1348  0.5956
In  0.8652  0.8652  0.4044

Calculated values
space group	R-3m (166)
electronic total energy	-4.073	eV per atom


(3)
SrRe2Cl | PBE-GGA | optimized geometry

a b c (Å): 3.9150 3.9150 8.3619
angles (deg): 71.56 71.56 56.97
Fractional positions:
Sr  0.5191  0.5191  0.5042
Re  0.9750  0.9750  0.9330
Cl  0.3053  0.3053  0.2541
Re  0.7007  0.7007  0.8086

Calculated values
energy relative to the lowest polymorph listed for this composition	2.90	kcal/mol of atoms
space group	Cm (8)
electronic total energy	-6.998	eV per atom


(4)
PuScI2 | PBE-GGA | optimized geometry

a b c (Å): 3.7905 3.7905 10.7374
angles (deg): 79.83 79.83 60.00
Each line ends with the local moment (μB).
Fractional positions:
Pu  0.0000  0.0000  0.0000  5.96
Sc  0.5000  0.5000  0.5000  0.24
I  0.8954  0.8954  0.3139  0.00
I  0.1046  0.1046  0.6861  0.00

Calculated values
space group	R-3m (166)
electronic total energy	-6.379	eV per atom


(5)
Tl2InBi2Pb | PBE-GGA | optimized geometry

a b c (Å): 5.0078 7.3415 10.5550
angles (deg): 90.00 90.00 90.00
Fractional positions:
Tl  0.5000  0.0601  0.0233
Tl  0.5000  0.5601  0.9767
Tl  0.0000  0.8203  0.8379
In  0.5000  0.6704  0.3272
In  0.5000  0.1704  0.6728
Tl  0.0000  0.3203  0.1621
Bi  0.0000  0.7928  0.1690
Pb  0.0000  0.4547  0.5404
Bi  0.5000  0.7473  0.6310
Bi  0.0000  0.2928  0.8310
Bi  0.5000  0.2473  0.3690
Pb  0.0000  0.9547  0.4596

Calculated values
space group	Pmc2_1 (26)
electronic total energy	-3.169	eV per atom


(6)
RbTl2TeSe4 | PBE-GGA | optimized geometry

a b c (Å): 8.7532 8.7532 8.5896
angles (deg): 118.04 118.04 89.80
Fractional positions:
Se  0.7313  0.1962  0.9514
Te  0.0000  0.0000  0.0000
Se  0.2332  0.2077  0.9825
Tl  0.5000  0.0000  0.0000
Rb  0.0000  0.5000  0.0000
Se  0.7077  0.7332  0.4825
Te  0.5000  0.5000  0.5000
Tl  0.5000  0.0000  0.5000
Se  0.6962  0.2313  0.4514
Se  0.2923  0.2668  0.5175
Tl  0.0000  0.0000  0.5000
Se  0.3038  0.7687  0.5486
Rb  0.0000  0.5000  0.5000
Se  0.2687  0.8038  0.0486
Se  0.7668  0.7923  0.0175
Tl  0.5000  0.5000  0.0000

Calculated values
space group	C2/c (15)
electronic total energy	-3.169	eV per atom


(7)
ZnAs2F | PBE-GGA | optimized geometry

a b c (Å): 3.8129 3.8129 10.1675
angles (deg): 79.19 79.19 90.00
Fractional positions:
Zn  0.7500  0.2500  0.5000
F  0.5000  0.5000  0.0000
F  0.2500  0.7500  0.5000
As  0.8750  0.9157  0.7500
As  0.3750  0.3343  0.7500
Zn  0.0000  0.0000  0.0000
As  0.0843  0.6250  0.2500
As  0.6657  0.1250  0.2500

Calculated values
energy relative to the lowest polymorph listed for this composition	0.00	kcal/mol of atoms
space group	I-42d (122)
electronic total energy	-3.514	eV per atom


(8)
TbNd3Ag | PBE-GGA | optimized geometry

a b c (Å): 7.2590 7.2590 8.1420
angles (deg): 99.50 117.55 107.22
Fractional positions:
Nd  0.2198  0.3868  0.1957
Nd  0.8090  0.9759  0.1957
Ag  0.3255  0.2284  0.5539
Nd  0.1910  0.0241  0.8043
Tb  0.3142  0.9228  0.2370
Nd  0.7802  0.6132  0.8043
Nd  0.2578  0.5482  0.8060
Tb  0.6858  0.0772  0.7630
Nd  0.7422  0.4518  0.1940
Ag  0.6745  0.7716  0.4461

Calculated values
space group	C2/m (12)
electronic total energy	-4.300	eV per atom